1.
Below is a relaxed structure of TbSm3Dy6Ho2, with properties calculated at the PBE-GGA level.

Volume ... 31.9 Å³ per atom
Calculated formation energy ... 16 meV per atom

a = 6.1667 Å, b = 6.1667 Å, c = 11.7952 Å
α = 94.98°, β = 94.98°, γ = 119.97°
Sites, in units of the cell vectors:
Tb 0.0000 0.0000 0.0000
Sm 0.1668 0.8332 0.5000
Sm 0.5000 0.5000 0.5000
Sm 0.8332 0.1668 0.5000
Dy 0.0831 0.4166 0.2475
Dy 0.2504 0.2504 0.7525
Dy 0.4166 0.0831 0.2475
Dy 0.5834 0.9169 0.7525
Dy 0.7496 0.7496 0.2475
Dy 0.9169 0.5834 0.7525
Ho 0.3333 0.6667 0.0000
Ho 0.6667 0.3333 0.0000

---

2.
Below is a relaxed structure of BaAuSe4, with properties calculated at the PBE-GGA level.

Volume ... 24.7 Å³ per atom
Raw formation energy ... -201.9 meV/atom
Offset from the most stable computed form ... 0.3814 eV per atom

a = 5.9421 Å, b = 5.9421 Å, c = 5.9421 Å
α = 60.00°, β = 60.00°, γ = 60.00°
Sites, in units of the cell vectors:
Ba 0.0000 0.0000 0.0000
Au 0.2500 0.2500 0.2500
Se 0.1323 0.6226 0.6226
Se 0.6226 0.1323 0.6226
Se 0.6226 0.6226 0.1323
Se 0.6226 0.6226 0.6226

---

3.
Below is a relaxed structure of Sr8AuN4, with properties calculated at the PBE-GGA level.

Volume ... 28.9 Å³ per atom
Raw formation energy ... -484.9 meV/atom
Offset from the most stable computed form ... 0.1023 eV per atom

a = 8.1021 Å, b = 8.1021 Å, c = 8.1021 Å
α = 60.00°, β = 60.00°, γ = 60.00°
Sites, in units of the cell vectors:
Sr 0.0766 0.6411 0.6411
Sr 0.1041 0.1041 0.1041
Sr 0.1041 0.1041 0.6877
Sr 0.1041 0.6877 0.1041
Sr 0.6411 0.0766 0.6411
Sr 0.6411 0.6411 0.0766
Sr 0.6411 0.6411 0.6411
Sr 0.6877 0.1041 0.1041
Au 0.2500 0.2500 0.2500
N 0.3791 0.8736 0.8736
N 0.8736 0.3791 0.8736
N 0.8736 0.8736 0.3791
N 0.8736 0.8736 0.8736

---

4.
Below is a relaxed structure of SiAs2Cl, with properties calculated at the PBE-GGA level.

Volume ... 19.3 Å³ per atom
Raw formation energy ... 156.2 meV/atom
Offset from the most stable computed form ... 0.2096 eV per atom

a = 3.2940 Å, b = 3.2940 Å, c = 7.1225 Å
α = 90.00°, β = 90.00°, γ = 90.00°
Sites, in units of the cell vectors:
Si 0.0000 0.0000 0.0000
As 0.5000 0.5000 0.1912
As 0.5000 0.5000 0.8088
Cl 0.0000 0.0000 0.5000

---

5.
Below is a relaxed structure of Ac2CuAgO6, with properties calculated at the PBE-GGA level.

Volume ... 13.3 Å³ per atom
Raw formation energy ... -1776.6 meV/atom

a = 4.0552 Å, b = 4.0552 Å, c = 8.0966 Å
α = 90.00°, β = 90.00°, γ = 90.00°
Sites, in units of the cell vectors:
Ac 0.0000 0.0000 0.2395
Ac 0.0000 0.0000 0.7605
Cu 0.5000 0.5000 0.0000
Ag 0.5000 0.5000 0.5000
O 0.0000 0.5000 0.0000
O 0.0000 0.5000 0.5000
O 0.5000 0.0000 0.0000
O 0.5000 0.0000 0.5000
O 0.5000 0.5000 0.2355
O 0.5000 0.5000 0.7645

---

6.
Below is a relaxed structure of Cu2PdC, with properties calculated at the PBE-GGA level.

Volume ... 11.8 Å³ per atom
Calculated formation energy ... 641 meV per atom

a = 6.5093 Å, b = 6.5093 Å, c = 4.4680 Å
α = 90.00°, β = 90.00°, γ = 90.00°
Sites, in units of the cell vectors:
Cu 0.1576 0.7500 0.1250
Cu 0.2500 0.1576 0.8750
Cu 0.2500 0.3424 0.3750
Cu 0.3424 0.7500 0.6250
Cu 0.6576 0.2500 0.6250
Cu 0.7500 0.6576 0.3750
Cu 0.7500 0.8424 0.8750
Cu 0.8424 0.2500 0.1250
Pd 0.0000 0.0000 0.5000
Pd 0.0000 0.5000 0.7500
Pd 0.5000 0.0000 0.2500
Pd 0.5000 0.5000 0.0000
C 0.0000 0.0000 0.0000
C 0.0000 0.5000 0.2500
C 0.5000 0.0000 0.7500
C 0.5000 0.5000 0.5000

---

7.
Below is a relaxed structure of DyHoIr, with properties calculated at the PBE-GGA level.

Volume ... 25.4 Å³ per atom
Offset from the most stable computed form ... 0.1340 eV per atom
Calculated formation energy ... -584 meV per atom

a = 3.4608 Å, b = 3.4608 Å, c = 12.7046 Å
α = 90.00°, β = 90.00°, γ = 90.00°
Sites, in units of the cell vectors:
Dy 0.0000 0.0000 0.0000
Dy 0.5000 0.5000 0.5000
Ho 0.0000 0.0000 0.7448
Ho 0.5000 0.5000 0.2448
Ir 0.0000 0.0000 0.3716
Ir 0.5000 0.5000 0.8716

---

8.
Below is a relaxed structure of Ba3Pr3DyS8, with properties calculated at the PBE-GGA level.

Volume ... 29.5 Å³ per atom
Raw formation energy ... -2054.3 meV/atom

a = 8.7565 Å, b = 8.7565 Å, c = 8.7565 Å
α = 57.07°, β = 57.07°, γ = 57.07°
Sites, in units of the cell vectors:
Ba 0.0000 0.5000 0.5000
Ba 0.5000 0.0000 0.5000
Ba 0.5000 0.5000 0.0000
Pr 0.0000 0.0000 0.5000
Pr 0.0000 0.5000 0.0000
Pr 0.5000 0.0000 0.0000
Dy 0.5000 0.5000 0.5000
S 0.2411 0.2411 0.2411
S 0.2498 0.7307 0.7307
S 0.2693 0.2693 0.7502
S 0.2693 0.7502 0.2693
S 0.7307 0.2498 0.7307
S 0.7307 0.7307 0.2498
S 0.7502 0.2693 0.2693
S 0.7589 0.7589 0.7589

---

9.
Below is a relaxed structure of TmTh4Sc6, with properties calculated at the PBE-GGA level.

Volume ... 29.8 Å³ per atom
Calculated formation energy ... 485 meV per atom

a = 8.6248 Å, b = 8.6248 Å, c = 5.0819 Å
α = 90.00°, β = 90.00°, γ = 120.00°
Sites, in units of the cell vectors:
Tm 0.0000 0.0000 0.0000
Th 0.3333 0.6667 0.0000
Th 0.3909 0.1954 0.5000
Th 0.8046 0.1954 0.5000
Th 0.8046 0.6091 0.5000
Sc 0.2120 0.4240 0.5000
Sc 0.2120 0.7880 0.5000
Sc 0.5386 0.0772 0.0000
Sc 0.5386 0.4614 0.0000
Sc 0.5760 0.7880 0.5000
Sc 0.9228 0.4614 0.0000

---

10.
Below is a relaxed structure of NpPa2IrN5, with properties calculated at the PBE-GGA level.

Volume ... 15.0 Å³ per atom
Raw formation energy ... -459.6 meV/atom

a = 6.6773 Å, b = 6.6773 Å, c = 6.0580 Å
α = 90.00°, β = 90.00°, γ = 90.00°
Sites, in units of the cell vectors:
Np 0.0000 0.5000 0.0000
Np 0.5000 0.0000 0.0000
Pa 0.1816 0.3184 0.5000
Pa 0.3184 0.8184 0.5000
Pa 0.6816 0.1816 0.5000
Pa 0.8184 0.6816 0.5000
Ir 0.0000 0.0000 0.0000
Ir 0.5000 0.5000 0.0000
N 0.0000 0.0000 0.5000
N 0.1342 0.6342 0.2716
N 0.1342 0.6342 0.7284
N 0.3658 0.1342 0.2716
N 0.3658 0.1342 0.7284
N 0.5000 0.5000 0.5000
N 0.6342 0.8658 0.2716
N 0.6342 0.8658 0.7284
N 0.8658 0.3658 0.2716
N 0.8658 0.3658 0.7284

---

11.
Below is a relaxed structure of Ce2SiRu, with properties calculated at the PBE-GGA level.

Volume ... 20.3 Å³ per atom
Raw formation energy ... 47.6 meV/atom
Offset from the most stable computed form ... 0.6219 eV per atom

a = 3.0583 Å, b = 3.0583 Å, c = 30.0767 Å
α = 90.00°, β = 90.00°, γ = 120.00°
Sites, in units of the cell vectors:
Ce 0.0000 0.0000 0.0827
Ce 0.0000 0.0000 0.9173
Ce 0.3333 0.6667 0.5840
Ce 0.3333 0.6667 0.7493
Ce 0.6667 0.3333 0.2507
Ce 0.6667 0.3333 0.4160
Si 0.0000 0.0000 0.5000
Si 0.3333 0.6667 0.1667
Si 0.6667 0.3333 0.8333
Ru 0.0000 0.0000 0.0000
Ru 0.3333 0.6667 0.6667
Ru 0.6667 0.3333 0.3333

---

12.
Below is a relaxed structure of Cd4SnPd7, with properties calculated at the PBE-GGA level.

Volume ... 19.0 Å³ per atom
Calculated formation energy ... -212 meV per atom

a = 5.7792 Å, b = 5.7792 Å, c = 9.8891 Å
α = 114.35°, β = 114.35°, γ = 51.09°
Sites, in units of the cell vectors:
Cd 0.0950 0.0950 0.2718
Cd 0.2994 0.2994 0.8560
Cd 0.7006 0.7006 0.1440
Cd 0.9050 0.9050 0.7282
Sn 0.5000 0.5000 0.5000
Pd 0.0000 0.0000 0.5000
Pd 0.1371 0.1371 0.0076
Pd 0.2891 0.2891 0.5760
Pd 0.4292 0.4292 0.1884
Pd 0.5708 0.5708 0.8116
Pd 0.7109 0.7109 0.4240
Pd 0.8629 0.8629 0.9924